Record 1
Computed, not measured: ReAsF2 after structural relaxation at the PBE level of DFT.

Geometry as extended XYZ:
```
4
Lattice="0.000 3.002 3.002 3.002 0.000 3.002 3.002 3.002 0.000" Properties=species:S:1:pos:R:3 pbc="T T T"
Re 0.000 0.000 0.000
As 3.002 3.002 3.002
F 1.501 1.501 1.501
F 4.503 4.503 4.503
```

Properties
* total magnetization: 2.318 μB per formula unit
* E_form (uncorrected): 299 meV per atom

***

Record 2
Computed, not measured: ReAsRhF2 after structural relaxation at the PBE level of DFT.

Geometry as extended XYZ:
```
5
Lattice="3.902 0.000 0.000 0.000 3.902 0.000 0.000 0.000 5.164" Properties=species:S:1:pos:R:3 pbc="T T T"
Re 0.000 0.000 0.000
As 0.000 0.000 2.582
Rh 1.951 1.951 2.582
F 0.000 1.951 0.000
F 1.951 0.000 0.000
```

Properties
* total magnetization: 0.469 μB per formula unit
* E_form (uncorrected): -234 meV per atom

***

Record 3
Computed, not measured: ReAs2SeF after structural relaxation at the PBE level of DFT.

Geometry as extended XYZ:
```
5
Lattice="4.829 0.000 0.000 0.000 4.829 0.000 0.000 0.000 4.778" Properties=species:S:1:pos:R:3 pbc="T T T"
Re 0.000 0.000 0.000
As 0.000 2.415 0.000
As 2.415 0.000 0.000
Se 0.000 0.000 2.389
F 2.415 2.415 2.389
```

Properties
* total magnetization: 0.000 μB per formula unit
* E_form (uncorrected): 231 meV per atom

***

Record 4
Computed, not measured: ReAsSe2F after structural relaxation at the PBE level of DFT.

Geometry as extended XYZ:
```
5
Lattice="4.714 0.000 0.000 0.000 4.714 0.000 0.000 0.000 4.031" Properties=species:S:1:pos:R:3 pbc="T T T"
Re 0.000 0.000 0.000
As 2.357 2.357 0.000
Se 0.000 2.357 2.015
Se 2.357 0.000 2.015
F 2.357 2.357 2.015
```

Properties
* total magnetization: 1.325 μB per formula unit
* E_form (uncorrected): 1017 meV per atom

***

Record 5
Computed, not measured: ReAs2SeF after structural relaxation at the PBE level of DFT.

Geometry as extended XYZ:
```
5
Lattice="4.245 0.000 0.000 0.000 4.245 0.000 0.000 0.000 4.905" Properties=species:S:1:pos:R:3 pbc="T T T"
Re 0.000 0.000 0.000
As 0.000 2.122 2.452
As 2.122 0.000 2.452
Se 2.122 2.122 0.000
F 2.122 2.122 2.452
```

Properties
* total magnetization: 1.707 μB per formula unit
* E_form (uncorrected): 889 meV per atom

***

Record 6
Computed, not measured: ReAsSe2F after structural relaxation at the PBE level of DFT.

Geometry as extended XYZ:
```
5
Lattice="4.797 0.000 0.000 0.000 4.797 0.000 0.000 0.000 4.880" Properties=species:S:1:pos:R:3 pbc="T T T"
Re 0.000 0.000 0.000
As 0.000 0.000 2.440
Se 0.000 2.399 0.000
Se 2.399 0.000 0.000
F 2.399 2.399 2.440
```

Properties
* total magnetization: 0.000 μB per formula unit
* E_form (uncorrected): 226 meV per atom

***

no.,energy (eV/cell)
1,-19.6
2,-29.4
3,-25.9
4,-20.9
5,-22.7
6,-24.8